Entry 1:
Material: CeYPtPb
Method: DFT, PBE
State: relaxed Values from VASP.

Formation enthalpy at 0 K = -0.63 eV per atom
N(E_F) = 2.0748 states/eV per atom
M_tot = 1.1 Bohr magnetons per cell
Mass density = 10.14 g/cm3
Space-group type = F-43m

Geometry as Quantum ESPRESSO input:
```
&SYSTEM
  ibrav = 0, nat = 4, ntyp = 4
/
ATOMIC_SPECIES
Ce 140.12 Ce.upf
Y 88.91 Y.upf
Pt 195.08 Pt.upf
Pb 207.20 Pb.upf
CELL_PARAMETERS angstrom
0.0000 3.7257 3.7257
3.7257 0.0000 3.7257
3.7257 3.7257 0.0000
ATOMIC_POSITIONS crystal
Ce 0.0000 0.0000 0.0000
Y 0.5000 0.5000 0.5000
Pt 0.2500 0.2500 0.2500
Pb 0.7500 0.7500 0.7500
```

Entry 2:
Material: Ce6PuPb2
Method: DFT, PBE
State: relaxed Values from VASP.

Formation enthalpy at 0 K = -0.41 eV per atom
N(E_F) = 1.8837 states/eV per atom
M_tot = 0.0 Bohr magnetons per cell
Mass density = 9.96 g/cm3
Space-group type = C2/m

Geometry as Quantum ESPRESSO input:
```
&SYSTEM
  ibrav = 0, nat = 9, ntyp = 3
/
ATOMIC_SPECIES
Ce 140.12 Ce.upf
Pu 244.00 Pu.upf
Pb 207.20 Pb.upf
CELL_PARAMETERS angstrom
6.1073 -3.5249 0.0000
6.1073 3.5249 0.0000
-0.0087 0.0000 5.8034
ATOMIC_POSITIONS crystal
Ce 0.1676 0.1676 0.7359
Ce 0.1676 0.6668 0.7362
Ce 0.3332 0.8324 0.2638
Ce 0.6668 0.1676 0.7362
Ce 0.8324 0.3332 0.2638
Ce 0.8324 0.8324 0.2641
Pu 0.0000 0.0000 0.5000
Pb 0.3327 0.3327 0.2290
Pb 0.6673 0.6673 0.7710
```

Entry 3:
Material: CePu5Pb3
Method: DFT, PBE
State: relaxed Values from VASP.

Formation enthalpy at 0 K = 0.05 eV per atom
N(E_F) = 3.7837 states/eV per atom
M_tot = 58.8 Bohr magnetons per cell
Mass density = 13.09 g/cm3
Space-group type = I4/mcm

Geometry as Quantum ESPRESSO input:
```
&SYSTEM
  ibrav = 0, nat = 18, ntyp = 3
/
ATOMIC_SPECIES
Ce 140.12 Ce.upf
Pu 244.00 Pu.upf
Pb 207.20 Pb.upf
CELL_PARAMETERS angstrom
-4.3501 4.3501 6.6398
4.3501 -4.3501 6.6398
4.3501 4.3501 -6.6398
ATOMIC_POSITIONS crystal
Ce 0.2500 0.7500 0.5000
Ce 0.7500 0.2500 0.5000
Pu 0.0000 0.0000 0.0000
Pu 0.0402 0.5402 0.8844
Pu 0.1557 0.0402 0.5000
Pu 0.3443 0.8443 0.8844
Pu 0.4598 0.3443 0.5000
Pu 0.5000 0.5000 0.0000
Pu 0.5402 0.6557 0.5000
Pu 0.6557 0.1557 0.1156
Pu 0.8443 0.9598 0.5000
Pu 0.9598 0.4598 0.1156
Pb 0.1196 0.3804 0.5000
Pb 0.2500 0.2500 0.0000
Pb 0.3804 0.8804 0.2608
Pb 0.6196 0.1196 0.7392
Pb 0.7500 0.7500 0.0000
Pb 0.8804 0.6196 0.5000
```

Entry 4:
Material: Ce3Pu3Pb
Method: DFT, PBE
State: relaxed Values from VASP.

Formation enthalpy at 0 K = 0.84 eV per atom
N(E_F) = 2.7691 states/eV per atom
M_tot = 35.6 Bohr magnetons per cell
Mass density = 10.73 g/cm3
Space-group type = Pm-3n

Geometry as Quantum ESPRESSO input:
```
&SYSTEM
  ibrav = 0, nat = 14, ntyp = 3
/
ATOMIC_SPECIES
Ce 140.12 Ce.upf
Pu 244.00 Pu.upf
Pb 207.20 Pb.upf
CELL_PARAMETERS angstrom
7.4932 0.0000 0.0000
0.0000 7.4932 0.0000
0.0000 0.0000 7.4932
ATOMIC_POSITIONS crystal
Ce 0.0000 0.2500 0.5000
Ce 0.0000 0.7500 0.5000
Ce 0.2500 0.5000 0.0000
Ce 0.5000 0.0000 0.2500
Ce 0.5000 0.0000 0.7500
Ce 0.7500 0.5000 0.0000
Pu 0.0000 0.5000 0.2500
Pu 0.0000 0.5000 0.7500
Pu 0.2500 0.0000 0.5000
Pu 0.5000 0.2500 0.0000
Pu 0.5000 0.7500 0.0000
Pu 0.7500 0.0000 0.5000
Pb 0.0000 0.0000 0.0000
Pb 0.5000 0.5000 0.5000
```